No. 1
KHg3Os: PBEsol geometry, meta-GGA SCAN.

## Properties
Crystal system: cubic
E_tot: -283.43 eV for the cell shown
ΔH_f (0 K): 0.2562 eV per atom

a b c (Å): 5.218 5.218 5.218
angles (deg): 90.00 90.00 90.00
Space group Pm-3m (No. 221)
Unique sites:
K (0.000, 0.000, 0.000) (multiplicity 1)
Hg (0.000, 0.500, 0.500) (multiplicity 3)
Os (0.500, 0.500, 0.500) (multiplicity 1)

***

No. 2
KHgOs: PBEsol geometry, meta-GGA SCAN.

## Properties
Crystal system: hexagonal
E_tot: -145.14 eV for the cell shown
ΔH_f (0 K): 1.0795 eV per atom

a b c (Å): 5.1604 5.1604 2.6772
angles (deg): 90.00 90.00 120.00
Space group P-6m2 (No. 187)
Unique sites:
K (0.0000, 0.0000, 0.0000) (multiplicity 1)
Hg (0.6667, 0.3333, 0.5000) (multiplicity 1)
Os (0.3333, 0.6667, 0.5000) (multiplicity 1)